Entry from Alexandria: a geometry-optimized Sc2SbW structure (PBE-GGA).

abc: 6.7715 6.7715 6.7715
angles: 90.00 90.00 90.00
Space group F-43m (No. 216)
One atom of each set of equivalent atoms:
Sc1 0.0000 0.0000 0.0000 [4 per cell]
Sc2 0.2500 0.2500 0.2500 [4 per cell]
Sb1 0.2500 0.2500 0.7500 [4 per cell]
W1 0.0000 0.0000 0.5000 [4 per cell]

Summary:
crystal system	cubic
ΔE_f (raw)	0.062	eV/atom
calculated density	8.5	Mg/m³
calculated volume	19.4	A^3/atom
D(E_F)	24.06	states/eV/cell
size of the total moment	0.79	μB/f.u.